A) DFT (PBE-GGA) results for crystalline Fe2BiI2 at its relaxed geometry.

Geometry as CIF:
```
data_Fe2BiI2
_chemical_formula_sum 'Fe4 Bi2 I4'
_space_group_name_H-M_alt 'I 4/m m m'
_space_group_IT_number 139
_space_group_name_Hall '-I 4 2'
_cell_length_a 5.265
_cell_length_b 5.265
_cell_length_c 8.931
_cell_angle_alpha 90.00
_cell_angle_beta 90.00
_cell_angle_gamma 90.00
loop_
_atom_site_label
_atom_site_fract_x
_atom_site_fract_y
_atom_site_fract_z
Fe1 0.000 0.000 0.127
Bi1 0.000 0.000 0.500
I1 0.000 0.500 0.250
```

B) DFT (PBE-GGA) results for crystalline Fe2BiI2 at its relaxed geometry.

Geometry as CIF:
```
data_Fe2BiI2
_chemical_formula_sum 'Fe4 Bi2 I4'
_space_group_name_H-M_alt 'P 4/m b m'
_space_group_IT_number 127
_space_group_name_Hall '-P 4 2ab'
_cell_length_a 7.720
_cell_length_b 7.720
_cell_length_c 3.658
_cell_angle_alpha 90.00
_cell_angle_beta 90.00
_cell_angle_gamma 90.00
loop_
_atom_site_label
_atom_site_fract_x
_atom_site_fract_y
_atom_site_fract_z
Fe1 0.105 0.395 0.000
Bi1 0.000 0.000 0.000
I1 0.154 0.654 0.500
```

The relative energies come out as A) 0; B) 221, with values in meV/atom.

A) DFT (PBE-GGA) results for crystalline FeBi2I at its relaxed geometry.

Geometry as CIF:
```
data_FeBi2I
_chemical_formula_sum 'Fe4 Bi8 I4'
_space_group_name_H-M_alt 'I -4 2 d'
_space_group_IT_number 122
_space_group_name_Hall 'I -4 2bw'
_cell_length_a 6.817
_cell_length_b 6.817
_cell_length_c 12.509
_cell_angle_alpha 90.00
_cell_angle_beta 90.00
_cell_angle_gamma 90.00
loop_
_atom_site_label
_atom_site_fract_x
_atom_site_fract_y
_atom_site_fract_z
Fe1 0.000 0.000 0.000
Bi1 0.130 0.250 0.125
I1 0.000 0.000 0.500
```

B) DFT (PBE-GGA) results for crystalline FeBi2I at its relaxed geometry.

Geometry as CIF:
```
data_FeBi2I
_chemical_formula_sum 'Fe4 Bi8 I4'
_space_group_name_H-M_alt 'F m -3 m'
_space_group_IT_number 225
_space_group_name_Hall '-F 4 2 3'
_cell_length_a 7.625
_cell_length_b 7.625
_cell_length_c 7.625
_cell_angle_alpha 90.00
_cell_angle_beta 90.00
_cell_angle_gamma 90.00
loop_
_atom_site_label
_atom_site_fract_x
_atom_site_fract_y
_atom_site_fract_z
Fe1 0.000 0.000 0.000
Bi1 0.250 0.250 0.250
I1 0.000 0.000 0.500
```

The relative energies come out as A) 0; B) 320, with values in meV/atom.